Here is crystalline SrFe2Cu at its relaxed geometry from Alexandria via LeMat-Bulk. Energies are from PBE.

Unit cell a=3.2751 b=3.2751 c=6.8395 alpha=90.00 beta=90.00 gamma=90.00
Last column: nearest neighbours and their distance in Å.
Element x y z (fractional)
Cu 0.5000 0.5000 0.7500  8 Fe 2.57
Fe 0.0000 0.0000 0.9114  1 Fe 2.21
Fe 0.0000 0.0000 0.5886  1 Fe 2.21
Sr 0.5000 0.5000 0.2500  4 Sr 3.28, 8 Fe 3.28, 2 Cu 3.42

Calculated values
Space group: P4/mmm, No. 123
Formation enthalpy at 0 K: 0.59 eV per atom